1.
Ca6Ac2Pm | PBE | optimized geometry

```
Ca6Ac2Pm
1.0
-1.054 3.021 2.410
-7.901 -5.474 4.800
9.854 1.290 4.083
Ca Ac Pm
6 2 1
Direct
0.835 0.503 0.170
0.165 0.497 0.830
0.660 0.676 0.676
0.835 0.170 0.503
0.165 0.830 0.497
0.340 0.324 0.324
0.500 0.843 0.157
0.500 0.157 0.843
0.000 0.000 0.000
```

Output
Spin magnetization in μB/f.u.: 0.000
E in eV per atom: -2.70
Volume in Å³/cell: 375.9
Space group: C2/m (12)

=====

2.
Tb3Ho6Tm2Mg | PBE | optimized geometry

```
Tb3Ho6Tm2Mg
1.0
-0.586 -5.958 1.119
2.024 1.897 -5.422
10.227 1.042 5.333
Tb Ho Tm Mg
3 6 2 1
Direct
0.166 0.834 0.500
0.834 0.166 0.500
0.500 0.500 0.500
0.919 0.586 0.754
0.748 0.748 0.248
0.081 0.414 0.246
0.586 0.919 0.754
0.252 0.252 0.752
0.414 0.081 0.246
0.334 0.666 0.000
0.666 0.334 0.000
0.000 0.000 0.000
```

Output
Spin magnetization in μB/f.u.: 0.000
E in eV per atom: -4.29
Volume in Å³/cell: 366.0
Space group: C2/m (12)